A plane-wave DFT calculation with GGA-PBE was carried out for an optimized crystal structure of NaBe2Pb2.

Calculated values
**Calculated density**: 6.89 g/cm3
**Space group**: I4/mmm (139)
**ΔE_f**: 0.37 eV per atom

Lattice parameters (Å, degrees): 6.692 6.692 6.692 142.62 142.62 53.89
Sites, in units of the cell vectors:
Na  0.000  0.000  0.000
Be  0.250  0.750  0.500
Be  0.750  0.250  0.500
Pb  0.371  0.371  0.000
Pb  0.629  0.629  0.000